The following is a GGA+U calculation of KMnGaF2 after structural relaxation, from Alexandria.

The structure belongs to space group P4/mmm (No. 123); the cell edges are 4.2884, 4.2884 and 7.1623 Å and the angles 90.00°, 90.00° and 90.00°. The inequivalent atoms are K at (0.0000, 0.0000, 0.0000), Mn at (0.0000, 0.0000, 0.5000), Ga at (0.5000, 0.5000, 0.0000) and F at (0.0000, 0.5000, 0.5000).

As for the final energy: -4.073 eV/atom.